Entry 1:
# ThPa2Zn9

Crystalline ThPa2Zn9 at its relaxed geometry (GGA-PBE, Alexandria via LeMat-Bulk).

Structure (extended XYZ):
```
12
Lattice="5.169 0.000 1.538 2.356 4.601 1.538 0.044 0.027 9.305" Properties=species:S:1:pos:R:3 pbc="T T T"
Zn 4.432 2.710 8.815
Zn 3.136 1.918 3.567
Zn 3.784 2.314 6.191
Zn 3.236 0.373 8.034
Zn 5.762 1.918 4.348
Pa 1.142 0.698 5.617
Zn 4.333 4.255 4.348
Th 0.000 0.000 0.000
Zn 2.570 1.572 10.270
Zn 1.807 2.710 8.034
Zn 4.998 3.056 2.112
Pa 6.427 3.930 6.765
```

Summary:
E = -39.5 eV per formula unit
Calculated volume = 220.88 Å³/cell
Theoretical density = 9.64 g/cm³
Symmetry = R-3m

***

Entry 2:
# ThPaZn

Crystalline ThPaZn at its relaxed geometry (GGA-PBE, Alexandria via LeMat-Bulk).

Structure (extended XYZ):
```
3
Lattice="3.250 0.000 0.000 0.000 3.250 0.000 -1.625 -1.625 7.078" Properties=species:S:1:pos:R:3 pbc="T T T"
Pa 0.000 0.000 4.535
Th 0.000 0.000 0.123
Zn 1.625 1.625 2.420
```

Summary:
Energy relative to the lowest polymorph listed for this composition = 0.045 eV/atom
Calculated volume = 74.77 Å³/cell
Theoretical density = 11.74 g/cm³
Symmetry = I4mm

***

| no. | magnetization (μB/cell) | DOS at the Fermi energy (states/eV per cell) |
| --- | --- | --- |
| 1 | 1.5 | 12.04 |
| 2 | 0.0 | 5.79 |